No. 1
A relaxed NaSI2N crystal. Source: the Alexandria database, functional GGA-PBEsol.

The value obtained for the formation energy (no corrections) is 18.7 kJ per mole of atoms. For the electronic total energy, the calculation gives -3.375 eV/atom.

a = 6.0688 Å, b = 6.0688 Å, c = 3.4131 Å
α = 90.00°, β = 90.00°, γ = 90.00°
Sites, in units of the cell vectors:
Na  0.0000  0.0000  0.0000
S  0.5000  0.5000  0.5000
I  0.0000  0.5000  0.5000
I  0.5000  0.0000  0.5000
N  0.5000  0.5000  0.0000

---

No. 2
A relaxed NaSbI2N crystal. Source: the Alexandria database, functional GGA-PBEsol.

The value obtained for the formation energy (no corrections) is 127.1 kJ per mole of atoms. For the electronic total energy, the calculation gives -2.286 eV/atom.

a = 5.8268 Å, b = 5.8268 Å, c = 5.7323 Å
α = 90.00°, β = 90.00°, γ = 90.00°
Sites, in units of the cell vectors:
Na  0.0000  0.0000  0.0000
Sb  0.0000  0.0000  0.5000
I  0.0000  0.5000  0.0000
I  0.5000  0.0000  0.0000
N  0.5000  0.5000  0.5000

---

No. 3
A relaxed NaSnIN2 crystal. Source: the Alexandria database, functional GGA-PBEsol.

The value obtained for the formation energy (no corrections) is 155.9 kJ per mole of atoms. For the electronic total energy, the calculation gives -3.280 eV/atom.

a = 4.5819 Å, b = 4.5819 Å, c = 5.5449 Å
α = 90.00°, β = 90.00°, γ = 90.00°
Sites, in units of the cell vectors:
Na  0.0000  0.0000  0.0000
Sn  0.5000  0.5000  0.5000
I  0.0000  0.0000  0.5000
N  0.0000  0.5000  0.0000
N  0.5000  0.0000  0.0000

---

No. 4
A relaxed NaTlIN2 crystal. Source: the Alexandria database, functional GGA-PBEsol.

The value obtained for the formation energy (no corrections) is 110.5 kJ per mole of atoms. For the electronic total energy, the calculation gives -3.424 eV/atom.

a = 4.3953 Å, b = 4.3953 Å, c = 6.4874 Å
α = 90.00°, β = 90.00°, γ = 90.00°
Sites, in units of the cell vectors:
Na  0.0000  0.0000  0.0000
Tl  0.5000  0.5000  0.5000
I  0.5000  0.5000  0.0000
N  0.0000  0.5000  0.5000
N  0.5000  0.0000  0.5000

---

No. 5
A relaxed NaYIN2 crystal. Source: the Alexandria database, functional GGA-PBEsol.

The value obtained for the formation energy (no corrections) is 13.2 kJ per mole of atoms. For the electronic total energy, the calculation gives -5.272 eV/atom.

a = 4.4739 Å, b = 4.4739 Å, c = 6.2316 Å
α = 90.00°, β = 90.00°, γ = 90.00°
Sites, in units of the cell vectors:
Na  0.0000  0.0000  0.0000
Y  0.5000  0.5000  0.5000
I  0.5000  0.5000  0.0000
N  0.0000  0.5000  0.5000
N  0.5000  0.0000  0.5000

---

No. 6
A relaxed NaZnI2N crystal. Source: the Alexandria database, functional GGA-PBEsol.

The value obtained for the formation energy (no corrections) is 82.6 kJ per mole of atoms. For the electronic total energy, the calculation gives -2.153 eV/atom.

a = 5.7977 Å, b = 5.7977 Å, c = 4.4248 Å
α = 90.00°, β = 90.00°, γ = 90.00°
Sites, in units of the cell vectors:
Na  0.0000  0.0000  0.0000
Zn  0.5000  0.5000  0.5000
I  0.0000  0.5000  0.0000
I  0.5000  0.0000  0.0000
N  0.0000  0.0000  0.5000

---

Q: What is the electronic total energy in the first record?
A: -3.375 eV/atom

---

Q: The highest formation energy (no corrections) belongs to which entry?
A: NaSnIN2